No. 1
Density functional theory data (GGA-PBE) for crystalline BaTlSCl at its relaxed geometry.

abc: 4.5491 4.5491 24.1876
angles: 90.00 90.00 120.00
Space group R3m (No. 160, hexagonal axes)
One atom of each set of equivalent atoms:
Ba 0.0000 0.0000 0.0000 x3
Tl 0.0000 0.0000 0.1924 x3
S 0.0000 0.0000 0.5957 x3
Cl 0.0000 0.0000 0.4040 x3

For the excess energy over the best structure of this formula in the dataset, the calculation gives 0.0 meV/atom. The density of states at the Fermi level comes out at 0.00 states/eV/atom. As for the crystal system: trigonal. The formation energy without anion corrections comes out at -1571 meV per atom.

---

No. 2
Density functional theory data (GGA-PBE) for crystalline BaVS2Cl at its relaxed geometry.

abc: 5.870 5.870 5.715
angles: 90.00 90.00 90.00
Space group P4/mmm (No. 123)
One atom of each set of equivalent atoms:
Ba 0.000 0.000 0.000 x1
V 0.500 0.500 0.500 x1
S 0.000 0.500 0.000 x2
Cl 0.000 0.000 0.500 x1

For the excess energy over the best structure of this formula in the dataset, the calculation gives 1624.3 meV/atom. The density of states at the Fermi level comes out at 1.75 states/eV/atom. As for the crystal system: tetragonal. The formation energy without anion corrections comes out at 272 meV per atom.

---

No. 3
Density functional theory data (GGA-PBE) for crystalline BaVSCl2 at its relaxed geometry.

abc: 5.786 5.786 6.064
angles: 90.00 90.00 90.00
Space group P4/mmm (No. 123)
One atom of each set of equivalent atoms:
Ba 0.000 0.000 0.000 x1
V 0.500 0.500 0.500 x1
S 0.000 0.000 0.500 x1
Cl 0.000 0.500 0.000 x2

For the excess energy over the best structure of this formula in the dataset, the calculation gives 1221.5 meV/atom. The density of states at the Fermi level comes out at 0.84 states/eV/atom. As for the crystal system: tetragonal. The formation energy without anion corrections comes out at -285 meV per atom.

---

No. 4
Density functional theory data (GGA-PBE) for crystalline BaVSCl2 at its relaxed geometry.

abc: 4.898 4.898 5.022
angles: 90.00 90.00 90.00
Space group P4/mmm (No. 123)
One atom of each set of equivalent atoms:
Ba 0.000 0.000 0.000 x1
V 0.500 0.500 0.500 x1
S 0.500 0.500 0.000 x1
Cl 0.000 0.500 0.500 x2

For the excess energy over the best structure of this formula in the dataset, the calculation gives 0.0 meV/atom. The density of states at the Fermi level comes out at 0.37 states/eV/atom. As for the crystal system: tetragonal. The formation energy without anion corrections comes out at -1506 meV per atom.

---

No. 5
Density functional theory data (GGA-PBE) for crystalline BaVS2Cl at its relaxed geometry.

abc: 4.716 4.716 4.945
angles: 90.00 90.00 90.00
Space group P4/mmm (No. 123)
One atom of each set of equivalent atoms:
Ba 0.000 0.000 0.000 x1
V 0.500 0.500 0.500 x1
S 0.000 0.500 0.500 x2
Cl 0.500 0.500 0.000 x1

For the excess energy over the best structure of this formula in the dataset, the calculation gives 0.0 meV/atom. The density of states at the Fermi level comes out at 0.94 states/eV/atom. As for the crystal system: tetragonal. The formation energy without anion corrections comes out at -1353 meV per atom.

---

No. 6
Density functional theory data (GGA-PBE) for crystalline BaWSCl2 at its relaxed geometry.

abc: 5.781 5.781 6.279
angles: 90.00 90.00 90.00
Space group P4/mmm (No. 123)
One atom of each set of equivalent atoms:
Ba 0.000 0.000 0.000 x1
W 0.500 0.500 0.500 x1
S 0.000 0.000 0.500 x1
Cl 0.000 0.500 0.000 x2

For the excess energy over the best structure of this formula in the dataset, the calculation gives 1312.4 meV/atom. The density of states at the Fermi level comes out at 2.05 states/eV/atom. As for the crystal system: tetragonal. The formation energy without anion corrections comes out at 517 meV per atom.

---

No. 7
Density functional theory data (GGA-PBE) for crystalline BaWSCl2 at its relaxed geometry.

abc: 5.077 5.077 4.639
angles: 90.00 90.00 90.00
Space group P4/mmm (No. 123)
One atom of each set of equivalent atoms:
Ba 0.000 0.000 0.000 x1
W 0.500 0.500 0.500 x1
S 0.500 0.500 0.000 x1
Cl 0.000 0.500 0.500 x2

For the excess energy over the best structure of this formula in the dataset, the calculation gives 0.0 meV/atom. The density of states at the Fermi level comes out at 0.68 states/eV/atom. As for the crystal system: tetragonal. The formation energy without anion corrections comes out at -796 meV per atom.

---

No. 8
Density functional theory data (GGA-PBE) for crystalline BaYSCl2 at its relaxed geometry.

abc: 5.249 5.249 5.333
angles: 90.00 90.00 90.00
Space group P4/mmm (No. 123)
One atom of each set of equivalent atoms:
Ba 0.000 0.000 0.000 x1
Y 0.500 0.500 0.500 x1
S 0.500 0.500 0.000 x1
Cl 0.000 0.500 0.500 x2

For the excess energy over the best structure of this formula in the dataset, the calculation gives 0.0 meV/atom. The density of states at the Fermi level comes out at 0.53 states/eV/atom. As for the crystal system: tetragonal. The formation energy without anion corrections comes out at -1889 meV per atom.